Entry 1:
The following is a DFT calculation (PBE-GGA) of an optimized crystal structure of TmBeOs.

abc: 5.1638 5.1078 5.1078
angles: 61.22 59.64 59.64
With the nearest neighbours (Å) after each atom.
Element x y z (fractional)
Tm 0.8712 0.3788 0.3788  6 Os 2.94-3.03, 6 Be 2.99-3.03, 4 Tm 3.11-3.18
Tm 0.1288 0.6212 0.6212  6 Os 2.94-3.03, 6 Be 2.99-3.03, 4 Tm 3.11-3.18
Be 0.0000 0.0000 0.0000  4 Os 2.55, 2 Be 2.58
Be 0.5000 0.0000 0.0000  4 Os 2.55, 2 Be 2.58
Os 0.5000 0.5000 0.0000  4 Be 2.55, 2 Os 2.60
Os 0.5000 0.0000 0.5000  4 Be 2.55, 2 Os 2.60

Results
* DFT formation energy: -0.30 eV per atom
* E: -40.65 eV/cell
* theoretical density: 12.79 g/cm³



Entry 2:
The following is a DFT calculation (PBE-GGA) of an optimized crystal structure of YNbO4.

abc: 5.0363 5.8693 5.9173
angles: 110.85 90.00 90.00
With the nearest neighbours (Å) after each atom.
Element x y z (fractional)
Y 0.0000 0.5000 0.5000  6 O 2.24-2.36
Y 0.5000 0.0000 0.5000  6 O 2.24-2.36
Nb 0.5000 0.5000 0.0000  6 O 1.97-2.08
Nb 0.0000 0.0000 0.0000  6 O 1.97-2.08
O 0.2874 0.8172 0.1231  2 Nb 2.04-2.08
O 0.2126 0.3172 0.1231  2 Nb 2.04-2.08
O 0.6614 0.6197 0.3243  1 Nb 1.97
O 0.1614 0.8803 0.6757  1 Nb 1.97
O 0.8386 0.1197 0.3243  1 Nb 1.97
O 0.3386 0.3803 0.6757  1 Nb 1.97
O 0.7874 0.6828 0.8769  2 Nb 2.04-2.08
O 0.7126 0.1828 0.8769  2 Nb 2.04-2.08

Results
* E: -108.68 eV/cell
* ΔE_f (raw): -2.9954 eV/atom
* theoretical density: 4.99 g/cm³



Entry 3:
The following is a DFT calculation (PBE-GGA) of an optimized crystal structure of ZrFe2Tc2.

abc: 7.2626 7.2626 2.7072
angles: 90.00 90.00 90.00
With the nearest neighbours (Å) after each atom.
Element x y z (fractional)
Tc 0.1699 0.6699 0.5000  6 Fe 2.53-2.54, 2 Tc 2.71
Tc 0.6699 0.8301 0.5000  6 Fe 2.53-2.54, 2 Tc 2.71
Tc 0.8301 0.3301 0.5000  6 Fe 2.53-2.54, 2 Tc 2.71
Tc 0.3301 0.1699 0.5000  6 Fe 2.53-2.54, 2 Tc 2.71
Zr 0.0000 0.0000 0.0000  2 Zr 2.71, 4 Fe 2.89, 8 Tc 3.02
Zr 0.5000 0.5000 0.0000  2 Zr 2.71, 4 Fe 2.89, 8 Tc 3.02
Fe 0.3783 0.8783 0.0000  3 Fe 2.50-2.71, 6 Tc 2.53-2.54
Fe 0.8783 0.6217 0.0000  3 Fe 2.50-2.71, 6 Tc 2.53-2.54
Fe 0.6217 0.1217 0.0000  3 Fe 2.50-2.71, 6 Tc 2.53-2.54
Fe 0.1217 0.3783 0.0000  3 Fe 2.50-2.71, 6 Tc 2.53-2.54

Results
* DFT formation energy: 0.04 eV per atom
* E: -92.04 eV/cell
* theoretical density: 9.28 g/cm³



Entry 4:
The following is a DFT calculation (PBE-GGA) of an optimized crystal structure of PmHoAgPt.

abc: 3.8253 4.6590 5.7427
angles: 90.00 109.45 90.00
With the nearest neighbours (Å) after each atom.
Element x y z (fractional)
Pm 0.1406 0.0000 0.2812  3 Pt 2.96-3.11, 4 Ag 3.08
Ho 0.8635 0.5000 0.7270  3 Ag 3.04-3.05, 4 Pt 3.06
Ag 0.5822 0.5000 0.1643  2 Pt 2.96, 3 Ho 3.04-3.05, 4 Pm 3.08
Pt 0.4138 0.0000 0.8275  3 Pm 2.96-3.11, 2 Ag 2.96, 4 Ho 3.06

Results
* DFT formation energy: -0.75 eV per atom
* E: -21.22 eV/cell
* theoretical density: 10.55 g/cm³



Entry 5:
The following is a DFT calculation (PBE-GGA) of an optimized crystal structure of PaSnRh2.

abc: 3.8400 7.1940 11.4165
angles: 90.00 90.00 90.00
With the nearest neighbours (Å) after each atom.
Element x y z (fractional)
Pa 0.7500 0.7048 0.6655  7 Rh 2.74-3.06
Pa 0.2500 0.7952 0.1655  7 Rh 2.74-3.06
Pa 0.2500 0.2952 0.3345  7 Rh 2.74-3.06
Pa 0.7500 0.2048 0.8345  7 Rh 2.74-3.06
Sn 0.7500 0.9053 0.4100  4 Rh 2.64-2.78
Sn 0.2500 0.5947 0.9100  4 Rh 2.64-2.78
Sn 0.2500 0.0947 0.5900  4 Rh 2.64-2.78
Sn 0.7500 0.4053 0.0900  4 Rh 2.64-2.78
Rh 0.7500 0.3481 0.5190  2 Sn 2.77, 3 Pa 2.88-3.06, 5 Rh 2.90-2.94
Rh 0.2500 0.1519 0.0190  2 Sn 2.77, 3 Pa 2.88-3.06, 5 Rh 2.90-2.94
Rh 0.2500 0.6519 0.4810  2 Sn 2.77, 3 Pa 2.88-3.06, 5 Rh 2.90-2.94
Rh 0.7500 0.8481 0.9810  2 Sn 2.77, 3 Pa 2.88-3.06, 5 Rh 2.90-2.94
Rh 0.7500 0.5609 0.2989  2 Sn 2.64-2.78, 2 Pa 2.74, 3 Rh 2.90-2.94
Rh 0.2500 0.9391 0.7989  2 Sn 2.64-2.78, 2 Pa 2.74, 3 Rh 2.90-2.94
Rh 0.2500 0.4391 0.7011  2 Sn 2.64-2.78, 2 Pa 2.74, 3 Rh 2.90-2.94
Rh 0.7500 0.0609 0.2011  2 Sn 2.64-2.78, 2 Pa 2.74, 3 Rh 2.90-2.94

Results
* DFT formation energy: -0.68 eV per atom
* E: -123.76 eV/cell
* theoretical density: 11.70 g/cm³



Entry 6:
The following is a DFT calculation (PBE-GGA) of an optimized crystal structure of PuGe2Ir.

abc: 4.3296 6.9227 10.2443
angles: 90.00 90.00 90.00
With the nearest neighbours (Å) after each atom.
Element x y z (fractional)
Pu 0.7500 0.6746 0.3656  9 Ge 3.00-3.27, 3 Ir 3.21-3.30
Pu 0.7500 0.1746 0.1344  9 Ge 3.00-3.27, 3 Ir 3.21-3.30
Pu 0.2500 0.3254 0.6344  9 Ge 3.00-3.27, 3 Ir 3.21-3.30
Pu 0.2500 0.8254 0.8656  9 Ge 3.00-3.27, 3 Ir 3.21-3.30
Ge 0.7500 0.7109 0.0734  3 Ir 2.44-2.58, 2 Ge 2.66
Ge 0.2500 0.2891 0.9266  3 Ir 2.44-2.58, 2 Ge 2.66
Ge 0.7500 0.2109 0.4266  3 Ir 2.44-2.58, 2 Ge 2.66
Ge 0.2500 0.7891 0.5734  3 Ir 2.44-2.58, 2 Ge 2.66
Ge 0.7500 0.1199 0.8294  2 Ir 2.44-2.61, 2 Ge 2.66
Ge 0.2500 0.3801 0.3294  2 Ir 2.44-2.61, 2 Ge 2.66
Ge 0.7500 0.6199 0.6706  2 Ir 2.44-2.61, 2 Ge 2.66
Ge 0.2500 0.8801 0.1706  2 Ir 2.44-2.61, 2 Ge 2.66
Ir 0.2500 0.0147 0.3906  5 Ge 2.44-2.61
Ir 0.7500 0.9853 0.6094  5 Ge 2.44-2.61
Ir 0.2500 0.5147 0.1094  5 Ge 2.44-2.61
Ir 0.7500 0.4853 0.8906  5 Ge 2.44-2.61

Results
* DFT formation energy: -0.49 eV per atom
* E: -137.62 eV/cell
* theoretical density: 12.58 g/cm³